Zn2CrW after structural relaxation. Source: Alexandria, functional PBE.

Cell: 2.7164 2.7164 27.2192 Å, 90.00 90.00 120.00°
Space group R3m (No. 160, hexagonal axes)
One atom of each set of equivalent atoms:
1 Zn 0.0000 0.0000 0.0000 (multiplicity 3)
2 Zn 0.0000 0.0000 0.2485 (multiplicity 3)
3 Cr 0.0000 0.0000 0.7457 (multiplicity 3)
4 W 0.0000 0.0000 0.4951 (multiplicity 3)

Summary:
DOS(E_F) (states/eV per cell): 9.4
Polymorph energy (0 for the lowest one) (meV/atom): 136